This record from Alexandria describes CrCd2Re after structural relaxation. The functional is GGA-PBE.

extended XYZ file:
```
4
Lattice="-1.045 1.545 -2.103 -2.233 -3.553 -1.501 -4.343 1.386 3.178" Properties=species:S:1:pos:R:3 pbc="T T T"
Cd -4.342 1.386 3.177
Cd -2.172 0.694 1.590
Cr -2.725 -0.657 -1.008
Re -4.896 0.036 0.581
```

Results
magnetic moment: 3.0 Bohr magnetons per cell
ρ: 11.04 Mg/m³
SG: Pmmm, No. 47
energy relative to the elements: 0.66 eV per atom
crystal system: orthorhombic

---

This record from Alexandria describes KNbSeBr2 after structural relaxation. The functional is GGA-PBE.

extended XYZ file:
```
5
Lattice="-0.746 -3.770 3.923 4.707 -2.433 -1.443 2.507 2.909 3.273" Properties=species:S:1:pos:R:3 pbc="T T T"
K 3.234 -1.647 2.876
Nb 0.000 0.000 0.000
Se 1.254 1.454 1.636
Br 2.353 -1.217 -0.722
Br -0.373 -1.885 1.961
```

Results
magnetic moment: 1.9 Bohr magnetons per cell
ρ: 4.05 Mg/m³
SG: P4/mmm, No. 123
formation energy (no corrections): -860 meV per atom
crystal system: tetragonal

---

This record from Alexandria describes CeSmYIn after structural relaxation. The functional is GGA-PBE.

extended XYZ file:
```
4
Lattice="5.446 0.000 0.000 2.723 4.717 0.000 2.723 1.572 4.447" Properties=species:S:1:pos:R:3 pbc="T T T"
Y 8.169 4.717 3.335
Ce 5.446 3.144 2.223
Sm 2.723 1.572 1.112
In 0.000 0.000 0.000
```

Results
magnetic moment: 0.1 Bohr magnetons per cell
ρ: 7.18 Mg/m³
SG: F-43m, No. 216
energy relative to the elements: -0.08 eV per atom
crystal system: cubic

---

This record from Alexandria describes ZrZnCdIn after structural relaxation. The functional is GGA-PBE.

extended XYZ file:
```
4
Lattice="4.267 0.000 0.000 0.000 4.363 0.000 0.000 0.000 4.333" Properties=species:S:1:pos:R:3 pbc="T T T"
Zr 2.134 2.181 0.000
Zn 0.000 0.000 0.000
Cd 2.134 0.000 2.166
In 0.000 2.181 2.166
```

Results
magnetic moment: 0.0 Bohr magnetons per cell
ρ: 7.90 Mg/m³
SG: Pmmm, No. 47
energy relative to the elements: -0.23 eV per atom
crystal system: orthorhombic

---

This record from Alexandria describes Na8LiHg2 after structural relaxation. The functional is GGA-PBE.

extended XYZ file:
```
11
Lattice="-2.035 2.474 4.870 -3.245 -7.835 0.669 8.393 0.608 1.243" Properties=species:S:1:pos:R:3 pbc="T T T"
Na 0.888 -4.588 5.816
Na 3.705 -2.544 5.954
Na 2.533 -3.674 2.682
Na -1.594 -4.662 3.235
Na 4.708 -0.090 3.546
Na 0.580 -1.079 4.100
Na -0.592 -2.208 0.827
Na 2.225 -0.165 0.966
Li -1.018 1.237 2.435
Hg 4.757 -2.030 1.063
Hg 0.391 -5.197 0.848
```

Results
magnetic moment: 0.0 Bohr magnetons per cell
ρ: 2.77 Mg/m³
SG: C2/m, No. 12
energy relative to the elements: -0.07 eV per atom
crystal system: monoclinic

---

This record from Alexandria describes Cu3TcAs after structural relaxation. The functional is GGA-PBE.

extended XYZ file:
```
5
Lattice="-2.539 -3.817 0.460 3.685 -2.573 -1.015 1.097 -0.191 4.471" Properties=species:S:1:pos:R:3 pbc="T T T"
As 1.121 -3.291 1.958
Tc 0.000 0.000 0.000
Cu 1.842 -1.287 -0.507
Cu 0.549 -0.096 2.235
Cu -1.270 -1.908 0.230
```

Results
magnetic moment: 0.0 Bohr magnetons per cell
ρ: 6.17 Mg/m³
SG: Pm-3m, No. 221
energy relative to the elements: 1.46 eV per atom
crystal system: cubic

---

Please write out number 2 again, unchanged.
This record from Alexandria describes KNbSeBr2 after structural relaxation. The functional is GGA-PBE.

extended XYZ file:
```
5
Lattice="-0.746 -3.770 3.923 4.707 -2.433 -1.443 2.507 2.909 3.273" Properties=species:S:1:pos:R:3 pbc="T T T"
K 3.234 -1.647 2.876
Nb 0.000 0.000 0.000
Se 1.254 1.454 1.636
Br 2.353 -1.217 -0.722
Br -0.373 -1.885 1.961
```

Results
magnetic moment: 1.9 Bohr magnetons per cell
ρ: 4.05 Mg/m³
SG: P4/mmm, No. 123
formation energy (no corrections): -860 meV per atom
crystal system: tetragonal